# 1
# Ba3Li2Pr2Tl4

Ba3Li2Pr2Tl4 after structural relaxation (GGA-PBE, Alexandria).

Output
- calculated formation energy (eV/atom) = -0.16
- electronic total energy (eV per atom) = -2.7613
- density of states at the Fermi level (states/eV per cell) = 12.91

Cell: 5.503 5.503 15.183 Å, 90.00 90.00 120.00°
Sites, in units of the cell vectors:
Ba1 0.000 0.000 0.000
Ba2 0.000 0.000 0.741
Ba3 0.000 0.000 0.259
Li1 0.333 0.667 0.151
Li2 0.667 0.333 0.849
Pr1 0.667 0.333 0.428
Pr2 0.333 0.667 0.572
Tl1 0.667 0.333 0.143
Tl2 0.333 0.667 0.363
Tl3 0.333 0.667 0.857
Tl4 0.667 0.333 0.637

---

# 2
# LaZnCd

LaZnCd after structural relaxation (GGA-PBE, Alexandria).

Output
- calculated formation energy (eV/atom) = -0.34
- electronic total energy (eV per atom) = -2.7155
- density of states at the Fermi level (states/eV per cell) = 5.67

Cell: 4.852 6.080 6.137 Å, 84.21 66.39 66.11°
Sites, in units of the cell vectors:
Zn1 0.545 0.111 0.299
Zn2 0.455 0.889 0.701
Cd1 0.054 0.273 0.118
Cd2 0.946 0.727 0.882
La1 0.250 0.717 0.282
La2 0.750 0.283 0.718

---

# 3
# ThGa2Pd4

ThGa2Pd4 after structural relaxation (GGA-PBE, Alexandria).

Output
- calculated formation energy (eV/atom) = -0.77
- electronic total energy (eV per atom) = -5.6612
- offset from the most stable computed form (eV/atom) = 0.000
- density of states at the Fermi level (states/eV per cell) = 3.22

Cell: 5.479 5.452 5.479 Å, 119.92 104.50 60.08°
Sites, in units of the cell vectors:
Ga1 0.500 0.250 0.500
Ga2 0.500 0.750 0.500
Pd1 0.591 0.704 0.000
Pd2 0.409 0.296 0.000
Pd3 0.000 0.704 0.409
Pd4 0.000 0.296 0.591
Th1 0.000 0.000 0.000

---

# 4
# Nd2SiI2

Nd2SiI2 after structural relaxation (GGA-PBE, Alexandria).

Output
- electronic total energy (eV per atom) = -4.4369
- density of states at the Fermi level (states/eV per cell) = 5.66

Cell: 4.178 7.688 11.286 Å, 90.00 90.00 105.77°
Sites, in units of the cell vectors:
I1 0.367 0.733 0.829
I2 0.904 0.807 0.131
I3 0.633 0.267 0.329
I4 0.096 0.193 0.631
Nd1 0.231 0.463 0.138
Nd2 0.961 0.922 0.401
Nd3 0.769 0.537 0.638
Nd4 0.039 0.078 0.901
Si1 0.653 0.306 0.985
Si2 0.347 0.694 0.485

---

# 5
# SrPbSBr2

SrPbSBr2 after structural relaxation (GGA-PBE, Alexandria).

Output
- electronic total energy (eV per atom) = -3.9354
- density of states at the Fermi level (states/eV per cell) = 0.00

Cell: 4.405 7.452 10.233 Å, 90.00 90.00 107.19°
Sites, in units of the cell vectors:
Br1 0.348 0.697 0.433
Br2 0.652 0.303 0.567
Br3 0.348 0.697 0.067
Br4 0.652 0.303 0.933
Pb1 0.000 0.000 0.500
Pb2 0.000 0.000 0.000
Sr1 0.718 0.436 0.250
Sr2 0.282 0.564 0.750
S1 0.089 0.179 0.250
S2 0.911 0.821 0.750

---

# 6
# TmPaFeTc

TmPaFeTc after structural relaxation (GGA-PBE, Alexandria).

Output
- calculated formation energy (eV/atom) = -0.09
- electronic total energy (eV per atom) = -8.2882
- density of states at the Fermi level (states/eV per cell) = 3.33

Cell: 4.754 4.754 4.754 Å, 60.00 60.00 60.00°
Site moments in Bohr magnetons follow the coordinates.
Sites, in units of the cell vectors:
Fe1 0.750 0.750 0.750  0.28
Tc1 0.250 0.250 0.250  0.03
Pa1 0.000 0.000 0.000  -0.08
Tm1 0.500 0.500 0.500  -0.04